Computed, not measured: a relaxed PrGdCd4 crystal at the GGA-PBE level of DFT.

Unit cell a=5.987 b=5.987 c=5.987 alpha=60.00 beta=60.00 gamma=60.00
Each line ends with the local moment (μB).
Fractional coordinates of all 6 atoms:
1 Gd 0.000 0.000 0.000  7.13
2 Cd 0.625 0.625 0.125  0.00
3 Cd 0.625 0.125 0.625  0.00
4 Cd 0.125 0.625 0.625  0.00
5 Cd 0.625 0.625 0.625  0.00
6 Pr 0.250 0.250 0.250  0.04

Calculated values
Total moment ... 7.466 μB/f.u.
Crystal system ... cubic
Energy of formation from the pure elements ... -28.6 kJ/mol of atoms
Density of states at the Fermi level ... 5.20 states/eV per cell